Computed, not measured: an optimized crystal structure of CrIn2Pt2 at the PBE level of DFT.

```
CrIn2Pt2
1.0
3.929 0.000 0.000
0.000 3.929 0.000
1.965 1.965 6.615
Cr Pt In
1 2 2
direct
0.000 0.000 0.000
0.250 0.750 0.500
0.750 0.250 0.500
0.393 0.393 0.215
0.607 0.607 0.785
```

distance to the lowest polymorph of the same formula: 291 meV per atom
energy of formation: 103 meV/atom
space-group type: I4/mmm, No. 139
magnetic moment: 4.270 μB per formula unit
raw total energy: -5.33 eV/atom